Entry 1:
Compound: Zn2SiPt2
Source: Alexandria
Functional: PBE
Structure: optimized geometry

Properties
Formation energy without anion corrections (eV/atom): -0.176
DOS at the Fermi energy (states/eV/f.u.): 2.63
E above lowest polymorph (meV per atom): 215
Space-group type: No. 127
Total energy (eV/atom): -4.19

Structure (POSCAR):
```
Zn2SiPt2
1.0
-3.7559 -4.1842 4.9579
6.3334 -3.6064 1.7543
0.5245 1.8905 1.9928
Zn Si Pt
4 2 4
Cartesian
4.1267 -4.7047 3.3771
0.6977 -5.9137 5.4265
-1.5492 -3.0858 3.3352
1.8798 -1.8769 1.2858
0.0000 0.0000 0.0000
1.2888 -3.8953 3.3561
3.8645 -2.1745 3.0079
3.0127 -4.8509 5.7711
-0.7625 -3.7256 5.6972
0.0893 -1.0492 2.9340
```

Entry 2:
Compound: ZnSi2Pt
Source: Alexandria
Functional: PBE
Structure: optimized geometry

Properties
Formation energy without anion corrections (eV/atom): -0.100
DOS at the Fermi energy (states/eV/f.u.): 1.30
Space-group type: No. 160
Total energy (eV/atom): -4.64

Structure (POSCAR):
```
ZnSi2Pt
1.0
7.7067 -0.0477 -0.0282
7.1130 2.9667 -0.0282
7.1130 1.4011 2.6152
Pt Si Zn
1 2 1
Cartesian
16.2953 3.2097 1.9011
0.0373 0.0073 0.0043
5.5710 1.0973 0.6499
10.9953 2.1658 1.2828
```

Entry 3:
Compound: Zn3SiPt3
Source: Alexandria
Functional: PBE
Structure: optimized geometry

Properties
Formation energy without anion corrections (eV/atom): -0.427
DOS at the Fermi energy (states/eV/f.u.): 2.92
Space-group type: No. 166
Total energy (eV/atom): -4.34

Structure (POSCAR):
```
Zn3SiPt3
1.0
4.9144 -0.0578 -1.6984
-2.5476 4.4043 -1.8027
0.0334 -0.0578 5.1995
Zn Si Pt
3 1 3
Cartesian
2.4474 -0.0134 -0.8552
1.1916 2.1606 0.8432
0.0078 -0.0134 2.5925
-1.2827 2.2176 -0.9077
1.1731 2.1887 -1.7564
2.4657 -0.0411 1.7447
-1.2660 2.1887 1.6906
```

Entry 4:
Compound: ZnSi2Pt
Source: Alexandria
Functional: PBE
Structure: optimized geometry

Properties
Formation energy without anion corrections (eV/atom): 0.064
DOS at the Fermi energy (states/eV/f.u.): 2.13
Space-group type: No. 123
Total energy (eV/atom): -4.48

Structure (POSCAR):
```
ZnSi2Pt
1.0
-2.0253 3.0929 -0.8488
-2.8902 -1.2250 2.4326
1.7094 1.9456 3.0106
Pt Si Zn
1 2 1
Cartesian
-0.1579 2.5192 1.0809
0.0000 0.0000 0.0000
-0.5904 0.3603 2.7216
-2.4577 0.9339 0.7919
```

Entry 5:
Compound: Zr3SiPt
Source: Alexandria
Functional: PBE
Structure: optimized geometry

Properties
Formation energy without anion corrections (eV/atom): 0.105
DOS at the Fermi energy (states/eV/f.u.): 4.22
E above lowest polymorph (meV per atom): 0
Space-group type: No. 221
Total energy (eV/atom): -7.32

Structure (POSCAR):
```
Zr3SiPt
1.0
-4.7671 -0.6973 -0.6149
0.7344 -0.8541 -4.7245
0.5702 -4.7301 0.9437
Si Zr Pt
1 3 1
Cartesian
0.0000 0.0000 0.0000
0.3672 -0.4270 -2.3622
0.2851 -2.3651 0.4718
-2.3835 -0.3487 -0.3075
-1.7313 -3.1407 -2.1979
```

Entry 6:
Compound: Zr2Si2Pt
Source: Alexandria
Functional: PBE
Structure: optimized geometry

Properties
Formation energy without anion corrections (eV/atom): -1.040
DOS at the Fermi energy (states/eV/f.u.): 2.84
Space-group type: No. 71
Total energy (eV/atom): -7.84

Structure (POSCAR):
```
Zr2Si2Pt
1.0
-1.2698 -2.7067 -2.3852
3.5583 -3.8926 -0.5433
-0.8203 -4.5710 2.5576
Zr Si Pt
2 2 1
Cartesian
0.9183 -8.1151 -0.4789
0.5498 -3.0552 0.1079
1.6917 -5.4368 -0.8636
-0.2235 -5.7335 0.4927
0.0000 0.0000 0.0000
```

Entry 7:
Compound: ZrSiPt2
Source: Alexandria
Functional: PBE
Structure: optimized geometry

Properties
Formation energy without anion corrections (eV/atom): -0.767
DOS at the Fermi energy (states/eV/f.u.): 2.46
Space-group type: No. 139
Total energy (eV/atom): -7.28

Structure (POSCAR):
```
ZrSiPt2
1.0
-4.6750 -0.2559 1.8538
-3.3681 -1.3095 -3.5070
4.4193 -1.9256 1.4559
Pt Si Zr
2 1 1
Cartesian
0.0000 0.0000 0.0000
-4.0216 -0.7827 -0.8266
-1.4852 -2.0089 -1.4389
-2.1386 -1.4821 1.2416
```

Entry 8:
Compound: ZrSi4Pt
Source: Alexandria
Functional: PBE
Structure: optimized geometry

Properties
Formation energy without anion corrections (eV/atom): -0.088
DOS at the Fermi energy (states/eV/f.u.): 3.35
Space-group type: No. 216
Total energy (eV/atom): -6.14

Structure (POSCAR):
```
ZrSi4Pt
1.0
2.8555 -2.7846 3.0898
-1.8346 -4.2679 1.9684
1.7803 -4.4604 -1.5460
Zr Si Pt
1 4 1
Cartesian
2.1009 -8.6347 2.6342
2.4858 -5.7093 2.8697
1.9444 -6.5531 0.5356
0.1243 -6.4561 2.3051
1.0480 -4.3073 1.3140
0.0000 0.0000 0.0000
```

Entry 9:
Compound: ZrSiPt2
Source: Alexandria
Functional: PBE
Structure: optimized geometry

Properties
Formation energy without anion corrections (eV/atom): -0.480
DOS at the Fermi energy (states/eV/f.u.): 2.89
Space-group type: No. 12
Total energy (eV/atom): -6.99

Structure (POSCAR):
```
ZrSiPt2
1.0
-1.4121 -5.1264 1.3423
4.4416 2.1745 2.3705
-0.6704 0.1388 2.8318
Pt Si Zr
2 1 1
Cartesian
0.0000 0.0000 0.0000
1.5147 -1.4759 1.8564
-1.0413 -2.4938 2.0871
1.8856 1.1566 2.6011
```

Entry 10:
Compound: ZrSiPt2
Source: Alexandria
Functional: PBE
Structure: optimized geometry

Properties
Formation energy without anion corrections (eV/atom): -0.618
DOS at the Fermi energy (states/eV/f.u.): 1.55
Space-group type: No. 216
Total energy (eV/atom): -7.13

Structure (POSCAR):
```
ZrSiPt2
1.0
4.5430 0.0000 0.0000
2.2715 3.9343 0.0000
2.2715 1.3114 3.7093
Pt Si Zr
2 1 1
Cartesian
0.0000 0.0000 0.0000
2.2715 1.3114 0.9273
4.5430 2.6229 1.8547
6.8144 3.9343 2.7820
```

Entry 11:
Compound: Zr4SiPt
Source: Alexandria
Functional: PBE
Structure: optimized geometry

Properties
Formation energy without anion corrections (eV/atom): -0.743
DOS at the Fermi energy (states/eV/f.u.): 6.66
E above lowest polymorph (meV per atom): 0
Space-group type: No. 124
Total energy (eV/atom): -8.35

Structure (POSCAR):
```
Zr4SiPt
1.0
5.4417 0.0000 0.0000
0.0000 6.6506 0.0000
0.0000 0.0000 6.6506
Zr Si Pt
8 2 2
Cartesian
0.0000 1.0806 4.3606
0.0000 5.5701 2.2900
0.0000 2.2900 1.0806
0.0000 4.3606 5.5701
2.7209 5.5701 4.3606
2.7209 1.0806 2.2900
2.7209 4.3606 1.0806
2.7209 2.2900 5.5701
1.3604 3.3253 3.3253
4.0813 3.3253 3.3253
1.3604 0.0000 0.0000
4.0813 0.0000 0.0000
```

Entry 12:
Compound: ZrSiPt3
Source: Alexandria
Functional: PBE
Structure: optimized geometry

Properties
Formation energy without anion corrections (eV/atom): -0.256
DOS at the Fermi energy (states/eV/f.u.): 3.66
E above lowest polymorph (meV per atom): 0
Space-group type: No. 221
Total energy (eV/atom): -6.68

Structure (POSCAR):
```
ZrSiPt3
1.0
-3.9500 -1.9904 1.0338
1.4592 -0.6907 4.2457
-1.7032 4.0242 1.2400
Si Zr Pt
1 1 3
Cartesian
0.0000 0.0000 0.0000
-2.0970 0.6716 3.2598
0.7296 -0.3454 2.1229
-0.8516 2.0121 0.6200
-1.9750 -0.9952 0.5169
```